Computed, not measured: a geometry-optimized Sm3NbO7 structure at the GGA-PBEsol level of DFT.

Values from the calculation:
Total moment, μB per cell: 0.000
SG: P-1 (2)
Formation energy without anion corrections, kJ/mol of formula units: -3472.0
E above lowest polymorph, meV/atom: 0
Uncorrected energy, eV for the cell shown: -197.66
Fermi-level density of states, states/eV/cell: 0.00

Cell: 6.4322 6.5500 7.6698 Å, 73.13 89.83 82.73°
With the nearest neighbours (Å) after each atom.
Sites, in units of the cell vectors:
1 Sm 0.2615 0.4629 0.8832  7 O 2.32-2.48
2 Sm 0.2607 0.4584 0.3901  5 O 2.27-2.43
3 Sm 0.4515 0.9928 0.2505  7 O 2.24-2.43
4 Sm 0.5485 0.0072 0.7495  7 O 2.24-2.43
5 Sm 0.7393 0.5416 0.6099  5 O 2.27-2.43
6 Sm 0.7385 0.5371 0.1168  7 O 2.32-2.48
7 Nb 0.0000 0.0000 0.0000  6 O 1.99-2.02
8 Nb 0.0000 0.0000 0.5000  6 O 1.99-2.05
9 O 0.2897 0.0715 0.5144  1 Nb 1.99
10 O 0.0791 0.6790 0.0572  1 Nb 2.02
11 O 0.2906 0.0721 0.9506  1 Nb 1.99
12 O 0.0774 0.6731 0.6015  1 Nb 2.05
13 O 0.0823 0.9633 0.2600  2 Nb 1.99-2.00
14 O 0.4422 0.3510 0.1645  4 Sm 2.24-2.36
15 O 0.4549 0.3635 0.6581  4 Sm 2.24-2.32
16 O 0.5451 0.6365 0.3419  4 Sm 2.24-2.32
17 O 0.5578 0.6490 0.8355  4 Sm 2.24-2.36
18 O 0.9177 0.0367 0.7400  2 Nb 1.99-2.00
19 O 0.9226 0.3269 0.3985  1 Nb 2.05
20 O 0.7094 0.9279 0.0494  1 Nb 1.99
21 O 0.9209 0.3210 0.9428  1 Nb 2.02
22 O 0.7103 0.9285 0.4856  1 Nb 1.99


Computed, not measured: a geometry-optimized Nb2SnO6 structure at the GGA-PBEsol level of DFT.

Values from the calculation:
Total moment, μB per cell: 0.000
SG: C2/c (15)
Formation energy without anion corrections, kJ/mol of formula units: -1981.7
Uncorrected energy, eV for the cell shown: -155.87
Fermi-level density of states, states/eV/cell: 0.00

Cell: 4.9077 5.6016 8.9310 Å, 91.44 105.95 90.00°
With the nearest neighbours (Å) after each atom.
Sites, in units of the cell vectors:
1 Nb 0.5904 0.8274 0.6609  4 O 1.86-2.06
2 Nb 0.9296 0.6726 0.3391  4 O 1.86-2.06
3 Nb 0.4096 0.1726 0.3391  4 O 1.86-2.06
4 Nb 0.0704 0.3274 0.6609  4 O 1.86-2.06
5 Sn 0.2319 0.7500 0.0000  4 O 2.17-2.36
6 Sn 0.7681 0.2500 0.0000  4 O 2.17-2.36
7 O 0.2806 0.8525 0.4397  3 Nb 1.97-2.19
8 O 0.8409 0.6475 0.5603  3 Nb 1.97-2.19
9 O 0.7194 0.1475 0.5603  3 Nb 1.97-2.19
10 O 0.1591 0.3525 0.4397  3 Nb 1.97-2.19
11 O 0.3942 0.5755 0.7170  2 Nb 1.86-2.06
12 O 0.6772 0.9245 0.2830  2 Nb 1.86-2.06
13 O 0.0048 0.4117 0.8557  1 Nb 1.90
14 O 0.1491 0.0883 0.1443  1 Nb 1.90
15 O 0.9952 0.5883 0.1443  1 Nb 1.90
16 O 0.8509 0.9117 0.8557  1 Nb 1.90
17 O 0.3228 0.0755 0.7170  2 Nb 1.86-2.06
18 O 0.6058 0.4245 0.2830  2 Nb 1.86-2.06


Computed, not measured: a geometry-optimized Nb2TlSnO structure at the GGA-PBEsol level of DFT.

Values from the calculation:
Total moment, μB per cell: 4.801
SG: P4/mmm (123)
Formation energy without anion corrections, kJ/mol of formula units: 1116.4
Uncorrected energy, eV for the cell shown: -22.21
Fermi-level density of states, states/eV/cell: 5.52

Cell: 5.3205 5.3205 5.2943 Å, 90.00 90.00 90.00°
With the nearest neighbours (Å) after each atom.
Sites, in units of the cell vectors:
1 O 0.5000 0.5000 0.5000  8 Nb 3.75, 4 Sn 3.76
2 Tl 0.0000 0.0000 0.0000  2 Sn 2.65, 4 Nb 2.66
3 Sn 0.0000 0.0000 0.5000  2 Tl 2.65
4 Nb 0.0000 0.5000 0.0000  2 Tl 2.66
5 Nb 0.5000 0.0000 0.0000  2 Tl 2.66


Computed, not measured: a geometry-optimized Nb2Zn2SnO8 structure at the GGA-PBEsol level of DFT.

Values from the calculation:
Total moment, μB per cell: 0.000
SG: C2/c (15)
Formation energy without anion corrections, kJ/mol of formula units: -2472.0
Uncorrected energy, eV for the cell shown: -193.36
Fermi-level density of states, states/eV/cell: 0.00

Cell: 5.3525 5.9060 10.7486 Å, 105.95 92.16 90.00°
With the nearest neighbours (Å) after each atom.
Sites, in units of the cell vectors:
1 Nb 0.2171 0.9600 0.2502  5 O 1.85-2.05
2 Nb 0.2829 0.7098 0.7498  5 O 1.85-2.05
3 Nb 0.7829 0.0400 0.7498  5 O 1.85-2.05
4 Nb 0.7171 0.2902 0.2502  5 O 1.85-2.05
5 Zn 0.2708 0.1243 0.5541  4 O 1.94-2.08
6 Zn 0.2292 0.5702 0.4459  4 O 1.94-2.08
7 Zn 0.7292 0.8757 0.4459  4 O 1.94-2.08
8 Zn 0.7708 0.4298 0.5541  4 O 1.94-2.08
9 Sn 0.2500 0.3033 0.0000  6 O 2.39-2.46
10 Sn 0.7500 0.6967 0.0000  6 O 2.39-2.46
11 O 0.5170 0.9962 0.1562  2 Nb 1.97-2.03
12 O 0.9830 0.8400 0.8438  2 Nb 1.97-2.03
13 O 0.4830 0.0038 0.8438  2 Nb 1.97-2.03
14 O 0.0170 0.1600 0.1562  2 Nb 1.97-2.03
15 O 0.1090 0.6778 0.1362  1 Nb 1.85
16 O 0.3910 0.5415 0.8638  1 Nb 1.85
17 O 0.8910 0.3222 0.8638  1 Nb 1.85
18 O 0.6090 0.4585 0.1362  1 Nb 1.85
19 O 0.9218 0.0746 0.3668  1 Zn 1.94, 1 Nb 2.05
20 O 0.5782 0.7078 0.6332  1 Zn 1.94, 1 Nb 2.05
21 O 0.8598 0.5540 0.3974  3 Zn 1.96-2.08, 1 Nb 2.02
22 O 0.6402 0.1566 0.6026  3 Zn 1.96-2.08, 1 Nb 2.02
23 O 0.1402 0.4460 0.6026  3 Zn 1.96-2.08, 1 Nb 2.02
24 O 0.3598 0.8434 0.3974  3 Zn 1.96-2.08, 1 Nb 2.02
25 O 0.4218 0.2922 0.3668  1 Zn 1.94, 1 Nb 2.05
26 O 0.0782 0.9254 0.6332  1 Zn 1.94, 1 Nb 2.05